This record from Alexandria via LeMat-Bulk describes a relaxed LiH2Br crystal. The functional is PBE-GGA.

Lattice parameters (Å, degrees): 4.687 4.687 5.927 66.71 66.71 90.00
Fractional positions:
H1 0.556 0.125 0.250
H2 0.194 0.625 0.250
H3 0.375 0.444 0.750
H4 0.875 0.806 0.750
Br1 0.000 0.000 0.000
Br2 0.750 0.250 0.500
Li1 0.500 0.500 0.000
Li2 0.250 0.750 0.500

Results
VASP energy (eV/cell): -16.88
Energy above the most stable polymorph in this dataset (meV/atom): 1206

---

This record from Alexandria via LeMat-Bulk describes a relaxed Li2H3Br6 crystal. The functional is PBE-GGA.

Lattice parameters (Å, degrees): 7.484 6.638 13.591 72.98 74.02 55.69
Fractional positions:
Li1 0.299 0.882 0.996
Li2 0.822 0.382 0.496
Li3 0.701 0.118 0.004
Li4 0.178 0.618 0.504
H1 0.099 0.931 0.731
H2 0.455 0.250 0.750
H3 0.761 0.569 0.769
H4 0.239 0.431 0.231
H5 0.901 0.069 0.269
H6 0.545 0.750 0.250
Br1 0.065 0.880 0.881
Br2 0.400 0.223 0.882
Br3 0.732 0.537 0.890
Br4 0.174 0.380 0.381
Br5 0.841 0.037 0.390
Br6 0.494 0.723 0.382
Br7 0.935 0.120 0.119
Br8 0.600 0.777 0.118
Br9 0.268 0.463 0.110
Br10 0.826 0.620 0.619
Br11 0.159 0.963 0.610
Br12 0.506 0.277 0.618

Results
VASP energy (eV/cell): -60.45

---

Density, record by record: 2.73 3.12 Mg/m³
Calculated volume, record by record: 107.9 528.0 Å³ per cell